(1)
# TlHNO2 | the Alexandria database | PBE | optimized geometry
# Uncorrected energy: -18.6 eV for the cell shown
data_TlHNO2
_chemical_formula_sum 'Tl1 H1 N1 O2'
_space_group_name_H-M_alt 'P 1'
_space_group_IT_number 1
_space_group_name_Hall 'P 1'
_cell_length_a 4.150
_cell_length_b 4.150
_cell_length_c 2.791
_cell_angle_alpha 90.00
_cell_angle_beta 90.00
_cell_angle_gamma 90.00
loop_
_atom_site_label
_atom_site_type_symbol
_atom_site_fract_x
_atom_site_fract_y
_atom_site_fract_z
_atom_site_occupancy
N1 N 0.000 0.000 0.500 1
H1 H 0.000 0.000 0.000 1
O1 O 0.000 0.500 0.000 1
O2 O 0.500 0.000 0.000 1
Tl1 Tl 0.500 0.500 0.500 1

=====

(2)
# TlHNO2 | the Alexandria database | PBE | optimized geometry
# Uncorrected energy: -16.0 eV for the cell shown
data_TlHNO2
_chemical_formula_sum 'Tl1 H1 N1 O2'
_space_group_name_H-M_alt 'P 1'
_space_group_IT_number 1
_space_group_name_Hall 'P 1'
_cell_length_a 4.259
_cell_length_b 4.259
_cell_length_c 5.043
_cell_angle_alpha 90.00
_cell_angle_beta 90.00
_cell_angle_gamma 90.00
loop_
_atom_site_label
_atom_site_type_symbol
_atom_site_fract_x
_atom_site_fract_y
_atom_site_fract_z
_atom_site_occupancy
N1 N 0.000 0.000 0.500 1
O1 O 0.500 0.000 0.000 1
O2 O 0.000 0.500 0.000 1
Tl1 Tl 0.000 0.000 0.000 1
H1 H 0.500 0.500 0.500 1

=====

(3)
# TlHN2O | the Alexandria database | PBE | optimized geometry
# Uncorrected energy: -16.0 eV for the cell shown
data_TlHN2O
_chemical_formula_sum 'Tl1 H1 N2 O1'
_space_group_name_H-M_alt 'P 1'
_space_group_IT_number 1
_space_group_name_Hall 'P 1'
_cell_length_a 4.801
_cell_length_b 4.801
_cell_length_c 4.258
_cell_angle_alpha 90.00
_cell_angle_beta 90.00
_cell_angle_gamma 90.00
loop_
_atom_site_label
_atom_site_type_symbol
_atom_site_fract_x
_atom_site_fract_y
_atom_site_fract_z
_atom_site_occupancy
N1 N 0.000 0.500 0.000 1
N2 N 0.500 0.000 0.000 1
O1 O 0.000 0.000 0.500 1
H1 H 0.500 0.500 0.500 1
Tl1 Tl 0.000 0.000 0.000 1

=====

(4)
# Tl2H6N2O | the Alexandria database | PBE | optimized geometry
# Uncorrected energy: -50.4 eV for the cell shown
data_Tl2H6N2O
_chemical_formula_sum 'Tl2 H6 N2 O1'
_space_group_name_H-M_alt 'P 1'
_space_group_IT_number 1
_space_group_name_Hall 'P 1'
_cell_length_a 3.557
_cell_length_b 6.869
_cell_length_c 11.448
_cell_angle_alpha 140.61
_cell_angle_beta 90.00
_cell_angle_gamma 105.00
loop_
_atom_site_label
_atom_site_type_symbol
_atom_site_fract_x
_atom_site_fract_y
_atom_site_fract_z
_atom_site_occupancy
H1 H 0.302 0.144 0.357 1
H2 H 0.989 0.978 0.820 1
H3 H 0.842 0.144 0.357 1
H4 H 0.011 0.022 0.180 1
H5 H 0.698 0.856 0.643 1
H6 H 0.158 0.856 0.643 1
Tl1 Tl 0.796 0.592 0.259 1
Tl2 Tl 0.204 0.408 0.741 1
N1 N 0.009 0.019 0.268 1
N2 N 0.991 0.981 0.732 1
O1 O 0.500 0.000 0.500 1

=====

(5)
# TlHN2O | the Alexandria database | PBE | optimized geometry
# Uncorrected energy: -19.4 eV for the cell shown
data_TlHN2O
_chemical_formula_sum 'Tl1 H1 N2 O1'
_space_group_name_H-M_alt 'P 1'
_space_group_IT_number 1
_space_group_name_Hall 'P 1'
_cell_length_a 3.122
_cell_length_b 3.122
_cell_length_c 5.630
_cell_angle_alpha 90.00
_cell_angle_beta 90.00
_cell_angle_gamma 90.00
loop_
_atom_site_label
_atom_site_type_symbol
_atom_site_fract_x
_atom_site_fract_y
_atom_site_fract_z
_atom_site_occupancy
O1 O 0.000 0.000 0.500 1
N1 N 0.500 0.000 0.000 1
N2 N 0.000 0.500 0.000 1
Tl1 Tl 0.500 0.500 0.500 1
H1 H 0.000 0.000 0.000 1

=====

Q: Number 5 is which compound?
A: TlHN2O

=====

Q: Which value of uncorrected energy does entry 3 give?
A: -16.0 eV for the cell shown

=====

Q: Which value of uncorrected energy does entry 3 give?
A: -16.0 eV for the cell shown